[1]
Density functional theory data (PBE) for a geometry-optimized MnSbOsC2 structure.

## Properties
Density of states at the Fermi level in states/eV/cell: 3.76
Raw formation energy in eV/atom: 3.025
Space group: No. 123
Crystal system: tetragonal

abc: 4.1459 4.1459 4.9710
angles: 90.00 90.00 90.00
Fractional positions:
Mn (0.0000, 0.0000, 0.0000)
Sb (0.0000, 0.0000, 0.5000)
Os (0.5000, 0.5000, 0.0000)
C (0.0000, 0.5000, 0.5000)
C (0.5000, 0.0000, 0.5000)

[2]
Density functional theory data (PBE) for a geometry-optimized ScMnOs2C structure.

## Properties
Density of states at the Fermi level in states/eV/cell: 2.52
Space group: No. 123
Crystal system: tetragonal
DFT formation energy in meV per atom: -120

abc: 4.1209 4.1209 3.9138
angles: 90.00 90.00 90.00
Fractional positions:
Sc (0.0000, 0.0000, 0.0000)
Mn (0.5000, 0.5000, 0.0000)
Os (0.0000, 0.5000, 0.5000)
Os (0.5000, 0.0000, 0.5000)
C (0.5000, 0.5000, 0.5000)

[3]
Density functional theory data (PBE) for a geometry-optimized ScMn2OsC structure.

## Properties
Density of states at the Fermi level in states/eV/cell: 3.69
Space group: No. 123
Crystal system: tetragonal
DFT formation energy in meV per atom: -136

abc: 3.9275 3.9275 4.0927
angles: 90.00 90.00 90.00
Fractional positions:
Sc (0.0000, 0.0000, 0.0000)
Mn (0.0000, 0.5000, 0.5000)
Mn (0.5000, 0.0000, 0.5000)
Os (0.5000, 0.5000, 0.0000)
C (0.5000, 0.5000, 0.5000)

[4]
Density functional theory data (PBE) for a geometry-optimized Mn2OsCSe structure.

## Properties
Density of states at the Fermi level in states/eV/cell: 1.99
Raw formation energy in eV/atom: 1.918
Space group: No. 123
Crystal system: tetragonal

abc: 5.0230 5.0230 4.4909
angles: 90.00 90.00 90.00
Fractional positions:
Mn (0.0000, 0.5000, 0.0000)
Mn (0.5000, 0.0000, 0.0000)
Os (0.0000, 0.0000, 0.0000)
C (0.5000, 0.5000, 0.5000)
Se (0.0000, 0.0000, 0.5000)

[5]
Density functional theory data (PBE) for a geometry-optimized MnOsCSe2 structure.

## Properties
Density of states at the Fermi level in states/eV/cell: 2.16
Raw formation energy in eV/atom: 1.061
Space group: No. 123
Crystal system: tetragonal

abc: 4.6566 4.6566 3.8532
angles: 90.00 90.00 90.00
Fractional positions:
Mn (0.0000, 0.0000, 0.0000)
Os (0.5000, 0.5000, 0.0000)
C (0.5000, 0.5000, 0.5000)
Se (0.0000, 0.5000, 0.5000)
Se (0.5000, 0.0000, 0.5000)

[6]
Density functional theory data (PBE) for a geometry-optimized Ta2MnOsC structure.

## Properties
Density of states at the Fermi level in states/eV/cell: 5.40
Space group: No. 123
Crystal system: tetragonal
DFT formation energy in meV per atom: -171
Energy above the lowest structure with this stoichiometry in meV per atom: 0

abc: 4.3174 4.3174 3.6846
angles: 90.00 90.00 90.00
Fractional positions:
Ta (0.0000, 0.5000, 0.0000)
Ta (0.5000, 0.0000, 0.0000)
Mn (0.0000, 0.0000, 0.5000)
Os (0.5000, 0.5000, 0.5000)
C (0.0000, 0.0000, 0.0000)

[7]
Density functional theory data (PBE) for a geometry-optimized Ta2MnOsC structure.

## Properties
Density of states at the Fermi level in states/eV/cell: 6.30
Space group: No. 123
Crystal system: tetragonal
DFT formation energy in meV per atom: 1677
Energy above the lowest structure with this stoichiometry in meV per atom: 1847

abc: 4.9504 4.9504 3.7598
angles: 90.00 90.00 90.00
Fractional positions:
Ta (0.0000, 0.5000, 0.0000)
Ta (0.5000, 0.0000, 0.0000)
Mn (0.0000, 0.0000, 0.5000)
Os (0.5000, 0.5000, 0.0000)
C (0.5000, 0.5000, 0.5000)

[8]
Density functional theory data (PBE) for a geometry-optimized TiMnOsC2 structure.

## Properties
Density of states at the Fermi level in states/eV/cell: 5.24
Space group: No. 123
Crystal system: tetragonal
DFT formation energy in meV per atom: 2231

abc: 3.9342 3.9342 4.5529
angles: 90.00 90.00 90.00
Fractional positions:
Ti (0.0000, 0.0000, 0.0000)
Mn (0.0000, 0.0000, 0.5000)
Os (0.5000, 0.5000, 0.5000)
C (0.0000, 0.5000, 0.0000)
C (0.5000, 0.0000, 0.0000)

| no. | magnetic moment (μB/atom) |
| --- | --- |
| 1 | 1.00 |
| 2 | 0.37 |
| 3 | 0.61 |
| 4 | 1.40 |
| 5 | 0.93 |
| 6 | 0.00 |
| 7 | 0.04 |
| 8 | 0.91 |